(1)
The following is a PBE-GGA calculation of a relaxed LuTiTlHg crystal, from Alexandria via LeMat-Bulk.

Summary:
Energy   -0.28335 Ry per atom
Symmetry   F-43m, No. 216
Calculated volume   88.7 Å³ per cell
Size of the total moment   1.879 μB/cell

```
LuTiTlHg
1.0
5.006 0.000 0.000
2.503 4.336 0.000
2.503 1.445 4.088
Lu Ti Tl Hg
1 1 1 1
direct
0.750 0.750 0.750
0.250 0.250 0.250
0.500 0.500 0.500
0.000 0.000 0.000
```

***

(2)
The following is a PBE-GGA calculation of a relaxed La4TlPbN crystal, from Alexandria via LeMat-Bulk.

Summary:
Symmetry   Cmcm, No. 63
Calculated volume   431.6 Å³ per cell
Size of the total moment   0.000 μB/cell
Energy relative to the elements, uncorrected   -70.8 kJ/mol of atoms

```
La4TlPbN
1.0
7.086 0.000 0.000
0.000 7.099 0.000
-3.543 0.000 8.579
La Pb N Tl
8 2 2 2
direct
0.587 0.250 0.173
0.918 0.250 0.837
0.082 0.750 0.163
0.500 0.500 0.500
0.500 0.000 0.500
0.413 0.750 0.827
0.000 0.000 0.500
0.000 0.500 0.500
0.109 0.250 0.217
0.891 0.750 0.783
0.266 0.750 0.532
0.734 0.250 0.468
0.611 0.750 0.222
0.389 0.250 0.778
```